First-principles (GGA+U) data for a relaxed structure of PaV3O9, as listed in the Alexandria database.

```
PaV3O9
1.0
6.846 0.000 2.881
3.031 7.641 2.372
-0.065 0.027 9.729
Pa O V
2 18 6
Direct
0.995 0.497 0.996
0.512 0.997 0.496
0.312 0.310 0.890
0.656 0.784 0.636
0.365 0.219 0.350
0.996 0.497 0.488
0.066 0.719 0.850
0.120 0.519 0.160
0.522 0.187 0.606
0.923 0.284 0.136
0.261 0.933 0.182
0.625 0.433 0.682
0.201 0.019 0.660
0.747 0.078 0.815
0.685 0.687 0.106
0.019 0.997 0.988
0.874 0.490 0.828
0.809 0.990 0.328
0.488 0.810 0.390
0.360 0.578 0.315
0.024 0.945 0.817
0.991 0.047 0.161
0.551 0.252 0.749
0.449 0.752 0.249
0.215 0.445 0.317
0.800 0.547 0.661
```

Output
DFT total energy, eV/atom: -8.2179
Calculated volume, Å³/cell: 510